Record 1
Material: CaEuRhPb
Method: DFT, GGA-PBE
State: optimized geometry

Unit cell a=5.2580 b=5.2580 c=5.2580 alpha=60.00 beta=60.00 gamma=60.00
Site moments in Bohr magnetons follow the coordinates.
Fractional positions:
Rh  0.5000  0.5000  0.5000  -0.08
Pb  0.0000  0.0000  0.0000  -0.01
Ca  0.7500  0.7500  0.7500  0.00
Eu  0.2500  0.2500  0.2500  6.75

Summary:
As for the energy of formation: -0.315 eV/atom. The size of the total moment is 6.85 μB per formula unit. For the total DFT energy (no corrections), the calculation gives -24.6 eV per formula unit.

=====

Record 2
Material: SrCaEuPb
Method: DFT, GGA-PBE
State: optimized geometry

Unit cell a=5.9312 b=5.9312 c=5.9312 alpha=60.00 beta=60.00 gamma=60.00
Site moments in Bohr magnetons follow the coordinates.
Fractional positions:
Pb  0.2500  0.2500  0.2500  -0.03
Eu  0.5000  0.5000  0.5000  6.92
Sr  0.0000  0.0000  0.0000  0.02
Ca  0.7500  0.7500  0.7500  0.05

Summary:
As for the energy of formation: -0.244 eV/atom. The size of the total moment is 7.41 μB per formula unit. For the total DFT energy (no corrections), the calculation gives -18.6 eV per formula unit.

=====

Record 3
Material: CaEuZnPb
Method: DFT, GGA-PBE
State: optimized geometry

Unit cell a=5.4581 b=5.4581 c=5.4581 alpha=60.00 beta=60.00 gamma=60.00
Site moments in Bohr magnetons follow the coordinates.
Fractional positions:
Ca  0.2500  0.2500  0.2500  0.01
Pb  0.5000  0.5000  0.5000  -0.03
Zn  0.0000  0.0000  0.0000  0.02
Eu  0.7500  0.7500  0.7500  6.86

Summary:
As for the energy of formation: -0.455 eV/atom. The size of the total moment is 7.13 μB per formula unit. For the total DFT energy (no corrections), the calculation gives -19.1 eV per formula unit.

=====

Record 4
Material: CaEu2Pd
Method: DFT, GGA-PBE
State: optimized geometry

Unit cell a=3.7162 b=3.7162 c=9.5236 alpha=90.00 beta=90.00 gamma=90.00
Site moments in Bohr magnetons follow the coordinates.
Fractional positions:
Eu  0.0000  0.0000  0.1816  6.92
Eu  0.0000  0.0000  0.8184  6.92
Pd  0.5000  0.5000  0.0000  -0.04
Ca  0.5000  0.5000  0.5000  0.07

Summary:
As for the energy of formation: -0.332 eV/atom. The size of the total moment is 14.85 μB per formula unit. For the total DFT energy (no corrections), the calculation gives -29.1 eV per formula unit.

=====

Record 5
Material: Ca4Eu2Pd
Method: DFT, GGA-PBE
State: optimized geometry

Unit cell a=5.5897 b=5.5897 c=10.2895 alpha=74.24 beta=74.24 gamma=90.00
Site moments in Bohr magnetons follow the coordinates.
Fractional positions:
Ca  0.8507  0.8507  0.2985  0.02
Ca  0.0000  0.5000  0.0000  0.01
Ca  0.1493  0.1493  0.7015  0.02
Ca  0.5000  0.0000  0.0000  0.01
Pd  0.0000  0.0000  0.0000  0.01
Eu  0.6531  0.6531  0.6937  6.96
Eu  0.3469  0.3469  0.3063  6.96

Summary:
As for the energy of formation: -0.058 eV/atom. The size of the total moment is 14.88 μB per formula unit. For the total DFT energy (no corrections), the calculation gives -34.2 eV per formula unit.

=====

Record 6
Material: CaEuPd2
Method: DFT, GGA-PBE
State: optimized geometry

Unit cell a=3.5779 b=5.0696 c=5.0696 alpha=90.00 beta=90.00 gamma=90.00
Site moments in Bohr magnetons follow the coordinates.
Fractional positions:
Pd  0.0000  0.5000  0.0000  0.04
Pd  0.0000  0.0000  0.5000  0.04
Eu  0.5000  0.5000  0.5000  -6.75
Ca  0.5000  0.0000  0.0000  -0.01

Summary:
As for the energy of formation: -0.651 eV/atom. The size of the total moment is 6.89 μB per formula unit. For the total DFT energy (no corrections), the calculation gives -25.3 eV per formula unit.

=====

Record 7
Material: CaEuPd
Method: DFT, GGA-PBE
State: optimized geometry

Unit cell a=5.0660 b=5.0660 c=5.0660 alpha=60.00 beta=60.00 gamma=60.00
Site moments in Bohr magnetons follow the coordinates.
Fractional positions:
Ca  0.5000  0.5000  0.5000  0.02
Pd  0.2500  0.2500  0.2500  -0.04
Eu  0.0000  0.0000  0.0000  6.85

Summary:
As for the energy of formation: -0.470 eV/atom. The size of the total moment is 7.09 μB per formula unit. For the total DFT energy (no corrections), the calculation gives -18.9 eV per formula unit.

=====

Record 8
Material: CaEuPd
Method: DFT, GGA-PBE
State: optimized geometry

Unit cell a=6.6478 b=4.1938 c=4.1938 alpha=120.00 beta=90.00 gamma=90.00
Site moments in Bohr magnetons follow the coordinates.
Fractional positions:
Eu  0.2459  0.3333  0.6667  6.86
Pd  0.9951  0.0000  0.0000  -0.03
Ca  0.7590  0.6667  0.3333  0.00

Summary:
As for the energy of formation: -0.423 eV/atom. The size of the total moment is 7.10 μB per formula unit. For the total DFT energy (no corrections), the calculation gives -18.7 eV per formula unit.